Material: CsAg2PtF8
Method: DFT, PBE
State: optimized geometry

It has space group P-3 (No. 147), with a = 5.6842 Å, b = 5.6842 Å, c = 8.3142 Å, α = 90.00°, β = 90.00° and γ = 120.00°. The inequivalent atoms are Cs at (0.0000, 0.0000, 0.0000), Ag at (0.3333, 0.6667, 0.6443), Pt at (0.0000, 0.0000, 0.5000), F at (0.0941, 0.7679, 0.3705) and F at (0.3333, 0.6667, 0.8947).

The total DFT energy (no corrections) comes out at -45.08 eV per formula unit. The formation energy (no corrections) comes out at -1.46 eV per atom.

---

Material: CeInCu2
Method: DFT, PBE
State: optimized geometry

It has space group Fm-3m (No. 225), with a = 6.751 Å, b = 6.751 Å, c = 6.751 Å, α = 90.00°, β = 90.00° and γ = 90.00°. The inequivalent atoms are Ce at (0.000, 0.000, 0.000), In at (0.000, 0.000, 0.500) and Cu at (0.250, 0.250, 0.250).

For the formation energy, the calculation gives -250 meV/atom. The total DFT energy (no corrections) comes out at -17.87 eV per formula unit.

---

Material: NdPu2Os
Method: DFT, PBE
State: optimized geometry

It has space group P4/mmm (No. 123), with a = 3.486 Å, b = 3.486 Å, c = 8.249 Å, α = 90.00°, β = 90.00° and γ = 90.00°. The inequivalent atoms are Nd at (0.000, 0.000, 0.000), Pu at (0.500, 0.500, 0.309) and Os at (0.000, 0.000, 0.500).

For the formation energy, the calculation gives 105 meV/atom. The total DFT energy (no corrections) comes out at -44.24 eV per formula unit. Its excess energy over the best structure of this formula in the dataset is 71 meV per atom.

---

Material: CaAl6Pt3
Method: DFT, PBE
State: optimized geometry

It has space group P2_1/m (No. 11), with a = 8.363 Å, b = 4.296 Å, c = 9.893 Å, α = 90.00°, β = 93.86° and γ = 90.00°. The inequivalent atoms are Ca at (0.046, 0.250, 0.306), Al at (0.118, 0.750, 0.021), Al at (0.205, 0.250, 0.622), Al at (0.300, 0.750, 0.266), Al at (0.317, 0.750, 0.782), Al at (0.424, 0.250, 0.419), Al at (0.470, 0.250, 0.915), Pt at (0.166, 0.250, 0.874), Pt at (0.277, 0.750, 0.514) and Pt at (0.375, 0.250, 0.152).

For the formation energy, the calculation gives -847 meV/atom. The total DFT energy (no corrections) comes out at -51.05 eV per formula unit.

---

Material: CsNpAgCl5
Method: DFT, PBE
State: optimized geometry

It has space group C2/c (No. 15), with a = 9.163 Å, b = 12.764 Å, c = 10.502 Å, α = 90.00°, β = 110.03° and γ = 90.00°. The inequivalent atoms are Cs at (0.000, 0.159, 0.250), Np at (0.000, 0.500, 0.000), Ag at (0.000, 0.187, 0.750), Cl at (0.000, 0.437, 0.250), Cl at (0.098, 0.303, 0.591) and Cl at (0.197, 0.061, 0.927).

The total DFT energy (no corrections) comes out at -37.83 eV per formula unit. The formation energy (no corrections) comes out at -1.49 eV per atom.

---

What did we get for DOS at the Fermi energy? Answer: 0.50 0.97 3.02 0.37 0.66 states/eV/atom, in the order shown.